No. 1
Crystalline LiReSnMo at its relaxed geometry, computed with GGA-PBE.

Computed properties:
Calculated formation energy   0.015 eV per atom

Cell lengths 4.467, 4.467, 4.467 Å; angles 60.00, 60.00, 60.00 degrees
Positions (direct):
Re: 0.000 0.000 0.000
Mo: 0.750 0.750 0.750
Sn: 0.250 0.250 0.250
Li: 0.500 0.500 0.500


No. 2
Crystalline LiRe2SnMo at its relaxed geometry, computed with GGA-PBE.

Computed properties:
Calculated formation energy   1.376 eV per atom

Cell lengths 4.265, 4.281, 4.265 Å; angles 90.00, 90.00, 90.00 degrees
Positions (direct):
Re: 0.000 0.000 0.500
Re: 0.500 0.000 0.000
Mo: 0.500 0.500 0.500
Sn: 0.000 0.500 0.000
Li: 0.000 0.000 0.000


No. 3
Crystalline LiTiRe2Mo at its relaxed geometry, computed with GGA-PBE.

Computed properties:
Calculated formation energy   1.525 eV per atom

Cell lengths 4.739, 4.730, 4.739 Å; angles 90.00, 90.00, 90.00 degrees
Positions (direct):
Re: 0.000 0.000 0.500
Re: 0.500 0.000 0.000
Mo: 0.000 0.000 0.000
Li: 0.500 0.500 0.500
Ti: 0.000 0.500 0.000